! Nd2PuCoN5 | the Alexandria database | PBE | optimized geometry; values from VASP
! DFT total energy, eV per atom: -8.868
! Raw formation energy, eV/atom: -0.801
! Crystal system: orthorhombic
! Space-group type: No. 36
! D(E_F), states/eV/atom: 0.776
&SYSTEM
  ibrav = 0, nat = 18, ntyp = 4
/
ATOMIC_SPECIES
Co 58.93 Co.upf
N 14.01 N.upf
Pu 244.00 Pu.upf
Nd 144.24 Nd.upf
ATOMIC_POSITIONS angstrom
Co -5.772 -5.207 -0.679
Co -8.563 -0.427 5.060
N -5.766 -1.088 1.274
N -1.790 -3.466 -2.603
N -4.699 -3.785 0.033
N -8.605 -5.957 1.321
N -3.163 0.732 0.898
N -0.181 -0.287 -0.181
N -8.829 -1.720 3.668
N -3.216 -1.106 -1.424
N -7.290 -4.253 -1.221
N -6.696 -3.823 2.078
Pu -6.630 -2.620 0.199
Pu -1.160 -1.971 -1.332
Nd -9.358 -3.610 1.779
Nd -3.293 -1.756 1.183
Nd -5.966 -1.973 3.705
Nd -4.344 -3.019 -2.715
CELL_PARAMETERS angstrom
-1.872 2.308 -1.785
-1.557 -6.204 -3.022
-7.911 -1.261 6.665